First-principles (meta-GGA SCAN) data for a PBEsol-optimized structure of BeCdTeN2, as listed in Alexandria.

The value obtained for the final energy is -16.351 eV/atom. The total magnetization is 3.8 μB per cell. The calculation puts the excess energy over the best structure of this formula in the dataset at 198.9 meV per atom. As for the density: 4447 kg/m3.

The structure belongs to space group P4/mmm (No. 123); the cell edges are 4.075, 4.075 and 6.229 Å and the angles 90.00°, 90.00° and 90.00°. Symmetry generates all atoms from Be at (0.000, 0.000, 0.000), Cd at (0.500, 0.500, 0.500), Te at (0.500, 0.500, 0.000) and N at (0.000, 0.500, 0.500).

=====

First-principles (meta-GGA SCAN) data for a PBEsol-optimized structure of Sc3AlAg, as listed in Alexandria.

The value obtained for the formation energy is 471 meV/atom. The value obtained for the final energy is -15.895 eV/atom. The total magnetization is 2.7 μB per cell. As for the density: 3453 kg/m3.

The structure belongs to space group Pm-3m (No. 221); the cell edges are 5.062, 5.062 and 5.062 Å and the angles 90.00°, 90.00° and 90.00°. Symmetry generates all atoms from Sc at (0.000, 0.000, 0.500), Al at (0.000, 0.000, 0.000) and Ag at (0.500, 0.500, 0.500).

=====

First-principles (meta-GGA SCAN) data for a PBEsol-optimized structure of CoMoOs2, as listed in Alexandria.

The value obtained for the formation energy is 291 meV/atom. The value obtained for the final energy is -48.697 eV/atom. The total magnetization is 4.0 μB per cell. The calculation puts the excess energy over the best structure of this formula in the dataset at 220.1 meV per atom. As for the density: 16392 kg/m3.

The structure belongs to space group Immm (No. 71); the cell edges are 2.677, 4.357 and 9.298 Å and the angles 90.00°, 90.00° and 90.00°. Symmetry generates all atoms from Co at (0.000, 0.000, 0.000), Mo at (0.000, 0.000, 0.500) and Os at (0.000, 0.500, 0.282).

=====

First-principles (meta-GGA SCAN) data for a PBEsol-optimized structure of Mg8Tl, as listed in Alexandria.

The value obtained for the formation energy is -45 meV/atom. The value obtained for the final energy is -12.506 eV/atom. The total magnetization is 0.0 μB per cell. As for the density: 3261 kg/m3.

The structure belongs to space group I4/mmm (No. 139); the cell edges are 9.508, 9.508 and 4.493 Å and the angles 90.00°, 90.00° and 90.00°. Symmetry generates all atoms from Mg at (0.000, 0.333, 0.000), Mg at (0.167, 0.167, 0.500) and Tl at (0.000, 0.000, 0.000).